Density functional theory data (GGA-PBE) for crystalline In2HgS4 at its relaxed geometry.

```
In2HgS4
1.0
5.6446 0.0000 0.0000
0.0000 5.6446 0.0000
0.0000 0.0000 5.9016
In Hg S
2 1 4
Direct
0.0000 0.5000 0.0000 In
0.5000 0.0000 0.0000 In
0.0000 0.0000 0.5000 Hg
0.2701 0.2701 0.7445 S
0.2701 0.7299 0.2555 S
0.7299 0.2701 0.2555 S
0.7299 0.7299 0.7445 S
```

Computed properties:
formation energy (no corrections)	-0.44	eV per atom
crystal system	tetragonal
V	26.862	A^3/atom
space-group type	No. 111